(1)
Computed, not measured: a relaxed structure of TaMoRu2 at the PBE-GGA level of DFT.

As for the magnetic moment: 0.000 μB per formula unit. The value obtained for the energy of formation from the pure elements is 0.18 eV/atom. The calculation puts the final energy at -10.130 eV per atom. The distance to the lowest polymorph of the same formula is 255 meV/atom.

It has space group R3m (No. 160, hexagonal axes), with a = 2.7891 Å, b = 2.7891 Å, c = 27.8017 Å, α = 90.00°, β = 90.00° and γ = 120.00°. Symmetry generates all atoms from Ta at (0.0000, 0.0000, 0.0000), Mo at (0.0000, 0.0000, 0.2418), Ru at (0.0000, 0.0000, 0.4965) and Ru at (0.0000, 0.0000, 0.7502).



(2)
Computed, not measured: a relaxed structure of SrCuNi2 at the PBE-GGA level of DFT.

As for the magnetic moment: 0.001 μB per formula unit. The value obtained for the energy of formation from the pure elements is 0.40 eV/atom. The calculation puts the final energy at -3.930 eV per atom. The distance to the lowest polymorph of the same formula is 475 meV/atom.

It has space group I-4m2 (No. 119), with a = 4.070 Å, b = 4.070 Å, c = 8.050 Å, α = 90.00°, β = 90.00° and γ = 90.00°. Symmetry generates all atoms from Sr at (0.000, 0.000, 0.000), Cu at (0.000, 0.500, 0.750), Ni at (0.000, 0.000, 0.500) and Ni at (0.000, 0.500, 0.250).